Entry 1:
The following is a DFT calculation (PBE-GGA) of an optimized crystal structure of TmZnAs.

abc: 4.704 4.704 4.704
angles: 60.00 60.00 60.00
Fractional positions:
Tm1 0.000 0.000 0.000
Zn1 0.250 0.250 0.250
As1 0.750 0.750 0.750

Summary:
volume: 73.6 Å³/cell
E_tot: -3.912 eV/atom
mass density: 7.0 g cm⁻³



Entry 2:
The following is a DFT calculation (PBE-GGA) of an optimized crystal structure of YSn2Os.

abc: 4.987 4.987 4.987
angles: 60.00 60.00 60.00
Fractional positions:
Y1 0.000 0.000 0.000
Sn1 0.250 0.250 0.250
Sn2 0.500 0.500 0.500
Os1 0.750 0.750 0.750

Summary:
volume: 87.7 Å³/cell
E_tot: -6.306 eV/atom
mass density: 9.8 g cm⁻³



Entry 3:
The following is a DFT calculation (PBE-GGA) of an optimized crystal structure of NdTeW.

abc: 4.836 4.836 4.836
angles: 60.00 60.00 60.00
Fractional positions:
Nd1 0.000 0.000 0.000
Te1 0.250 0.250 0.250
W1 0.500 0.500 0.500

Summary:
volume: 80.0 Å³/cell
E_tot: -6.234 eV/atom
mass density: 9.5 g cm⁻³



Entry 4:
The following is a DFT calculation (PBE-GGA) of an optimized crystal structure of HfCuTe.

abc: 4.504 4.504 4.504
angles: 60.00 60.00 60.00
Fractional positions:
Hf1 0.000 0.000 0.000
Cu1 0.250 0.250 0.250
Te1 0.500 0.500 0.500

Summary:
volume: 64.6 Å³/cell
energy above the lowest structure with this stoichiometry: 0 meV/atom
mass density: 9.5 g cm⁻³